AcLaTbTl, optimized geometry, DFT PBE; magnetization = 0.62 μB/f.u.; final energy = -4.0550 eV per atom; calculated volume = 34.324 Å³/atom; energy above the most stable polymorph in this dataset = 0 meV/atom
1.0
5.7906 0.0000 0.0000
2.8953 5.0148 0.0000
2.8953 1.6716 4.7280
Tl Tb La Ac
1 1 1 1
direct
0.0000 0.0000 0.0000 Tl
0.5000 0.5000 0.5000 Tb
0.7500 0.7500 0.7500 La
0.2500 0.2500 0.2500 Ac

---

AcLaTbTl, optimized geometry, DFT PBE; magnetization = 0.00 μB/f.u.; final energy = -4.0200 eV per atom; calculated volume = 33.241 Å³/atom; energy above the most stable polymorph in this dataset = 35 meV/atom
1.0
-4.3516 3.7103 0.3455
-4.2443 -0.9030 3.7407
-0.5299 3.3732 4.6003
La Tb Ac Tl
1 1 1 1
direct
0.7500 0.7500 0.7500 La
0.2500 0.2500 0.2500 Tb
0.5000 0.5000 0.5000 Ac
0.0000 0.0000 0.0000 Tl

---

calculated volume of number 1 (AcLaTbTl)?
34.324 Å³/atom

---

Which value of magnetization does entry 1 give?
0.62 μB/f.u.

---

The lowest energy above the most stable polymorph in this dataset belongs to which entry?
number 1